This record from Alexandria describes a relaxed structure of BaTbGaSe4. The functional is PBE.

a = 6.838 Å, b = 7.061 Å, c = 8.778 Å
α = 90.00°, β = 107.51°, γ = 90.00°
Fractional coordinates of all 14 atoms:
Ba 0.244 0.250 0.059
Ba 0.756 0.750 0.941
Tb 0.228 0.250 0.556
Tb 0.772 0.750 0.444
Ga 0.229 0.750 0.325
Ga 0.771 0.250 0.675
Se 0.013 0.511 0.719
Se 0.013 0.989 0.719
Se 0.427 0.750 0.141
Se 0.451 0.750 0.592
Se 0.549 0.250 0.408
Se 0.573 0.250 0.859
Se 0.987 0.011 0.281
Se 0.987 0.489 0.281

Results
- raw total energy (eV for the cell shown) = -67.545
- ΔE_f (raw) (meV/atom) = -1465